[1]
The following is a DFT calculation (GGA-PBE) of a relaxed structure of La4Tb2Nd2Er.

- Energy relative to the elements: 24 meV/atom
- SG: C2/m, No. 12
- Uncorrected energy: -4.76 eV per atom
- Size of the total moment: 0.000 μB per atom

Cell: 9.693 9.693 8.957 Å, 90.63 90.63 21.86°
Sites, in units of the cell vectors:
La (0.054, 0.054, 0.330)
La (0.277, 0.277, 0.670)
La (0.723, 0.723, 0.330)
La (0.946, 0.946, 0.670)
Tb (0.389, 0.389, 0.334)
Tb (0.611, 0.611, 0.666)
Nd (0.164, 0.164, 0.998)
Nd (0.836, 0.836, 0.002)
Er (0.500, 0.500, 0.000)

[2]
The following is a DFT calculation (GGA-PBE) of a relaxed structure of CaLaInW2.

- Energy relative to the elements: 1999 meV/atom
- SG: P4/mmm, No. 123
- Uncorrected energy: -5.12 eV per atom
- Size of the total moment: 0.000 μB per atom

Cell: 4.936 4.936 5.346 Å, 90.00 90.00 90.00°
Sites, in units of the cell vectors:
Ca (0.000, 0.000, 0.000)
La (0.000, 0.000, 0.500)
In (0.500, 0.500, 0.000)
W (0.000, 0.500, 0.500)
W (0.500, 0.000, 0.500)

[3]
The following is a DFT calculation (GGA-PBE) of a relaxed structure of NbMo3Br9.

- SG: Cc, No. 9
- Uncorrected energy: -4.83 eV per atom
- Size of the total moment: 0.004 μB per atom

Cell: 8.352 8.352 17.079 Å, 106.02 106.02 61.86°
Sites, in units of the cell vectors:
Nb (0.015, 0.985, 0.500)
Nb (0.985, 0.015, 0.000)
Mo (0.362, 0.529, 0.375)
Mo (0.408, 0.662, 0.893)
Mo (0.529, 0.362, 0.875)
Mo (0.662, 0.408, 0.393)
Mo (0.822, 0.896, 0.032)
Mo (0.896, 0.822, 0.532)
Br (0.020, 0.590, 0.068)
Br (0.049, 0.993, 0.659)
Br (0.064, 0.754, 0.862)
Br (0.239, 0.881, 0.386)
Br (0.264, 0.622, 0.522)
Br (0.269, 0.275, 0.331)
Br (0.275, 0.269, 0.831)
Br (0.354, 0.823, 0.043)
Br (0.462, 0.491, 0.740)
Br (0.491, 0.462, 0.240)
Br (0.590, 0.020, 0.568)
Br (0.622, 0.264, 0.022)
Br (0.645, 0.787, 0.897)
Br (0.754, 0.064, 0.362)
Br (0.787, 0.645, 0.397)
Br (0.823, 0.354, 0.543)
Br (0.881, 0.239, 0.886)
Br (0.993, 0.049, 0.159)

[4]
The following is a DFT calculation (GGA-PBE) of a relaxed structure of HfAs2.

- Energy relative to the elements: -760 meV/atom
- SG: Pnma, No. 62
- Uncorrected energy: -7.18 eV per atom
- Size of the total moment: 0.000 μB per atom

Cell: 6.824 3.712 9.019 Å, 90.00 90.00 90.00°
Sites, in units of the cell vectors:
Hf (0.229, 0.250, 0.163)
Hf (0.271, 0.750, 0.663)
Hf (0.729, 0.250, 0.337)
Hf (0.771, 0.750, 0.837)
As (0.080, 0.250, 0.853)
As (0.120, 0.250, 0.457)
As (0.380, 0.750, 0.957)
As (0.420, 0.750, 0.353)
As (0.580, 0.250, 0.647)
As (0.620, 0.250, 0.043)
As (0.880, 0.750, 0.543)
As (0.920, 0.750, 0.147)

[5]
The following is a DFT calculation (GGA-PBE) of a relaxed structure of Li8CdAg2.

- Energy relative to the elements: -89 meV/atom
- SG: C2/m, No. 12
- Uncorrected energy: -2.08 eV per atom
- Size of the total moment: 0.000 μB per atom

Cell: 7.411 7.411 4.851 Å, 104.20 104.20 119.70°
Sites, in units of the cell vectors:
Li (0.092, 0.325, 0.636)
Li (0.219, 0.781, 0.000)
Li (0.325, 0.092, 0.636)
Li (0.403, 0.403, 0.195)
Li (0.597, 0.597, 0.805)
Li (0.675, 0.908, 0.364)
Li (0.781, 0.219, 0.000)
Li (0.908, 0.675, 0.364)
Cd (0.000, 0.000, 0.000)
Ag (0.311, 0.689, 0.500)
Ag (0.689, 0.311, 0.500)

[6]
The following is a DFT calculation (GGA-PBE) of a relaxed structure of Er4TlPdRu2.

- Energy relative to the elements: -481 meV/atom
- SG: R-3m, No. 166
- Uncorrected energy: -6.03 eV per atom
- Size of the total moment: 0.000 μB per atom

Cell: 8.597 8.597 8.597 Å, 33.31 33.31 33.31°
Sites, in units of the cell vectors:
Er (0.119, 0.119, 0.119)
Er (0.371, 0.371, 0.371)
Er (0.629, 0.629, 0.629)
Er (0.881, 0.881, 0.881)
Tl (0.500, 0.500, 0.500)
Pd (0.000, 0.000, 0.000)
Ru (0.250, 0.250, 0.250)
Ru (0.750, 0.750, 0.750)

[7]
The following is a DFT calculation (GGA-PBE) of a relaxed structure of As2PN.

- SG: I-42d, No. 122
- Uncorrected energy: -5.03 eV per atom
- Size of the total moment: 0.000 μB per atom

Cell: 7.066 7.066 7.066 Å, 139.82 139.82 58.13°
Sites, in units of the cell vectors:
As (0.051, 0.625, 0.926)
As (0.375, 0.301, 0.426)
As (0.699, 0.125, 0.074)
As (0.875, 0.949, 0.574)
P (0.250, 0.750, 0.500)
P (0.500, 0.500, 0.000)
N (0.000, 0.000, 0.000)
N (0.750, 0.250, 0.500)

[8]
The following is a DFT calculation (GGA-PBE) of a relaxed structure of TiPd2Rh.

- Energy relative to the elements: -325 meV/atom
- SG: Fm-3m, No. 225
- Uncorrected energy: -6.73 eV per atom
- Size of the total moment: 0.000 μB per atom

Cell: 4.420 4.420 4.420 Å, 60.00 60.00 60.00°
Sites, in units of the cell vectors:
Ti (0.000, 0.000, 0.000)
Pd (0.250, 0.250, 0.250)
Pd (0.750, 0.750, 0.750)
Rh (0.500, 0.500, 0.500)

[9]
The following is a DFT calculation (GGA-PBE) of a relaxed structure of Er6AgGe2S14.

- SG: P3, No. 143
- Uncorrected energy: -5.63 eV per atom
- Size of the total moment: 0.000 μB per atom

Cell: 9.728 9.728 5.880 Å, 90.00 90.00 120.00°
Sites, in units of the cell vectors:
Er (0.024, 0.474, 0.000)
Er (0.308, 0.194, 0.502)
Er (0.450, 0.976, 0.000)
Er (0.526, 0.550, 0.000)
Er (0.806, 0.114, 0.502)
Er (0.886, 0.692, 0.502)
Ag (0.667, 0.333, 0.302)
Ge (0.000, 0.000, 0.928)
Ge (0.333, 0.667, 0.420)
S (0.000, 0.000, 0.305)
S (0.092, 0.238, 0.763)
S (0.146, 0.908, 0.763)
S (0.188, 0.760, 0.257)
S (0.240, 0.428, 0.257)
S (0.333, 0.667, 0.798)
S (0.405, 0.226, 0.060)
S (0.509, 0.072, 0.555)
S (0.562, 0.491, 0.555)
S (0.572, 0.812, 0.257)
S (0.762, 0.854, 0.763)
S (0.774, 0.179, 0.060)
S (0.821, 0.595, 0.060)
S (0.928, 0.438, 0.555)

[10]
The following is a DFT calculation (GGA-PBE) of a relaxed structure of Sr3SbAs.

- SG: Pm-3m, No. 221
- Uncorrected energy: -3.65 eV per atom
- Size of the total moment: 0.000 μB per atom

Cell: 5.841 5.841 5.841 Å, 90.00 90.00 90.00°
Sites, in units of the cell vectors:
Sr (0.000, 0.000, 0.500)
Sr (0.000, 0.500, 0.000)
Sr (0.500, 0.000, 0.000)
Sb (0.500, 0.500, 0.500)
As (0.000, 0.000, 0.000)

> Among the records above, which one has the highest size of the total moment?

NbMo3Br9

> What is the size of the total moment in the fourth record?

0.000 μB per atom